#w
Computed, not measured: an optimized crystal structure of VSeBr2O at the PBE with a Hubbard U level of DFT.

Cell: 5.1165 5.1165 4.8821 Å, 90.00 90.00 90.00°
With the nearest neighbours (Å) after each atom.
Fractional positions:
V  0.0000  0.0000  0.0000  2 Se 2.44, 4 Br 2.56
Se  0.0000  0.0000  0.5000  2 V 2.44
Br  0.0000  0.5000  0.0000  2 V 2.56
Br  0.5000  0.0000  0.0000  2 V 2.56
O  0.5000  0.5000  0.5000  8 Br 3.54, 4 Se 3.62

Summary:
N(E_F): 4.144 states/eV/cell

#x
Computed, not measured: an optimized crystal structure of VSeBr2O at the PBE with a Hubbard U level of DFT.

Cell: 4.7445 4.7445 4.4836 Å, 90.00 90.00 90.00°
With the nearest neighbours (Å) after each atom.
Fractional positions:
V  0.0000  0.0000  0.0000  8 Br 3.26, 4 Se 3.35
Se  0.5000  0.5000  0.0000  2 O 2.24
Br  0.0000  0.5000  0.5000  2 O 2.37
Br  0.5000  0.0000  0.5000  2 O 2.37
O  0.5000  0.5000  0.5000  2 Se 2.24, 4 Br 2.37

Summary:
N(E_F): 4.606 states/eV/cell

What should be chosen as the least stable of them? Choose #x.

#w
Computed, not measured: an optimized crystal structure of WSe2BrO at the PBE with a Hubbard U level of DFT.

Cell: 4.9052 4.9052 5.1652 Å, 90.00 90.00 90.00°
With the nearest neighbours (Å) after each atom.
Fractional positions:
W  0.0000  0.0000  0.0000  4 Se 2.45, 2 Br 2.58
Se  0.0000  0.5000  0.0000  2 W 2.45
Se  0.5000  0.0000  0.0000  2 W 2.45
Br  0.0000  0.0000  0.5000  2 W 2.58
O  0.5000  0.5000  0.5000  4 Br 3.47, 8 Se 3.56

Summary:
N(E_F): 8.873 states/eV/cell

#x
Computed, not measured: an optimized crystal structure of WSe2BrO at the PBE with a Hubbard U level of DFT.

Cell: 4.1723 4.1723 6.1423 Å, 90.00 90.00 90.00°
With the nearest neighbours (Å) after each atom.
Fractional positions:
W  0.0000  0.0000  0.0000  4 Br 2.95
Se  0.0000  0.5000  0.5000  2 O 2.09
Se  0.5000  0.0000  0.5000  2 O 2.09
Br  0.5000  0.5000  0.0000  4 W 2.95, 2 O 3.07
O  0.5000  0.5000  0.5000  4 Se 2.09

Summary:
N(E_F): 1.407 states/eV/cell

What should be chosen as the least stable of them? Choose #w.

#w
Computed, not measured: an optimized crystal structure of WSeBr2O at the PBE with a Hubbard U level of DFT.

Cell: 5.2535 5.2535 4.8821 Å, 90.00 90.00 90.00°
With the nearest neighbours (Å) after each atom.
Fractional positions:
W  0.0000  0.0000  0.0000  2 Se 2.44, 4 Br 2.63
Se  0.0000  0.0000  0.5000  2 W 2.44
Br  0.0000  0.5000  0.0000  2 W 2.63
Br  0.5000  0.0000  0.0000  2 W 2.63
O  0.5000  0.5000  0.5000  8 Br 3.59, 4 Se 3.71

Summary:
N(E_F): 7.514 states/eV/cell

#x
Computed, not measured: an optimized crystal structure of WSeBr2O at the PBE with a Hubbard U level of DFT.

Cell: 4.8613 4.8613 4.4481 Å, 90.00 90.00 90.00°
With the nearest neighbours (Å) after each atom.
Fractional positions:
W  0.0000  0.0000  0.0000  8 Br 3.29, 4 Se 3.44
Se  0.5000  0.5000  0.0000  2 O 2.22
Br  0.0000  0.5000  0.5000  2 O 2.43
Br  0.5000  0.0000  0.5000  2 O 2.43
O  0.5000  0.5000  0.5000  2 Se 2.22, 4 Br 2.43

Summary:
N(E_F): 1.802 states/eV/cell

What should be chosen as the least stable of them? Choose #x.